(1)
This record from the Alexandria database describes a relaxed ScAgBi2 crystal. The functional is PBE-GGA.

The structure belongs to space group R-3m (No. 166, hexagonal axes); the cell edges are 4.6939, 4.6939 and 16.9639 Å and the angles 90.00°, 90.00° and 120.00°. The inequivalent atoms are Sc at (0.0000, 0.0000, 0.0000), Ag at (0.0000, 0.0000, 0.5000) and Bi at (0.0000, 0.0000, 0.2509).

Its final energy is -4.305 eV per atom.

---

(2)
This record from the Alexandria database describes a relaxed Na3MoPd crystal. The functional is PBE-GGA.

The structure belongs to space group Pm-3m (No. 221); the cell edges are 5.726, 5.726 and 5.726 Å and the angles 90.00°, 90.00° and 90.00°. The inequivalent atoms are Na at (0.000, 0.000, 0.500), Mo at (0.000, 0.000, 0.000) and Pd at (0.500, 0.500, 0.500).

Its final energy is -2.497 eV per atom.

---

(3)
This record from the Alexandria database describes a relaxed LaAlOs3 crystal. The functional is PBE-GGA.

The structure belongs to space group Pm-3m (No. 221); the cell edges are 4.590, 4.590 and 4.590 Å and the angles 90.00°, 90.00° and 90.00°. The inequivalent atoms are La at (0.000, 0.000, 0.000), Al at (0.500, 0.500, 0.500) and Os at (0.000, 0.500, 0.500).

Its final energy is -7.644 eV per atom.

---

(4)
This record from the Alexandria database describes a relaxed CsLiPm2Te4 crystal. The functional is PBE-GGA.

The structure belongs to space group Cmcm (No. 63); the cell edges are 4.618, 15.685 and 16.068 Å and the angles 90.00°, 90.00° and 90.00°. The inequivalent atoms are Cs at (0.000, 0.109, 0.250), Li at (0.000, 0.168, 0.750), Pm at (0.000, 0.367, 0.061), Te at (0.000, 0.000, 0.000), Te at (0.000, 0.262, 0.606) and Te at (0.000, 0.423, 0.250).

Its final energy is -4.457 eV per atom. The value obtained for the energy relative to the elements, uncorrected is -1352 meV/atom.

---

(5)
This record from the Alexandria database describes a relaxed CrAs2Se crystal. The functional is PBE-GGA.

The structure belongs to space group R-3m (No. 166, hexagonal axes); the cell edges are 3.0610, 3.0610 and 26.1940 Å and the angles 90.00°, 90.00° and 120.00°. The inequivalent atoms are Cr at (0.0000, 0.0000, 0.0000), As at (0.0000, 0.0000, 0.2681) and Se at (0.0000, 0.0000, 0.5000).

Its final energy is -5.426 eV per atom. The value obtained for the energy relative to the elements, uncorrected is 176 meV/atom.

---

(6)
This record from the Alexandria database describes a relaxed Pr2CO crystal. The functional is PBE-GGA.

The structure belongs to space group R-3m (No. 166, hexagonal axes); the cell edges are 3.7401, 3.7401 and 18.1793 Å and the angles 90.00°, 90.00° and 120.00°. The inequivalent atoms are Pr at (0.0000, 0.0000, 0.2488), C at (0.0000, 0.0000, 0.5000) and O at (0.0000, 0.0000, 0.0000).

Its final energy is -7.338 eV per atom. The value obtained for the energy relative to the elements, uncorrected is -1403 meV/atom.

---

(7)
This record from the Alexandria database describes a relaxed ZrCrBr2 crystal. The functional is PBE-GGA.

The structure belongs to space group Immm (No. 71); the cell edges are 3.528, 4.334 and 15.217 Å and the angles 90.00°, 90.00° and 90.00°. The inequivalent atoms are Zr at (0.000, 0.000, 0.000), Cr at (0.000, 0.000, 0.500) and Br at (0.000, 0.500, 0.361).

Its final energy is -5.623 eV per atom. The value obtained for the energy relative to the elements, uncorrected is -244 meV/atom.

---

(8)
This record from the Alexandria database describes a relaxed CrSiIr crystal. The functional is PBE-GGA.

The structure belongs to space group P3m1 (No. 156); the cell edges are 2.7151, 2.7151 and 6.1134 Å and the angles 90.00°, 90.00° and 120.00°. The inequivalent atoms are Cr at (0.0000, 0.0000, 0.0000), Si at (0.6667, 0.3333, 0.6808) and Ir at (0.3333, 0.6667, 0.3410).

Its final energy is -8.130 eV per atom. The value obtained for the energy relative to the elements, uncorrected is -161 meV/atom.